1.
A plane-wave DFT calculation with PBE-GGA was carried out for an optimized crystal structure of DyRu2Pb.

Calculated values
calculated volume = 74.7 Å³ per cell
SG = No. 123
ΔE_f = -0.090 eV per atom

Cell lengths 4.656, 4.656, 3.446 Å; angles 90.00, 90.00, 90.00 degrees
Sites, in units of the cell vectors:
Dy1 0.000 0.000 0.000
Ru1 0.000 0.500 0.500
Ru2 0.500 0.000 0.500
Pb1 0.500 0.500 0.000

=====

2.
A plane-wave DFT calculation with PBE-GGA was carried out for an optimized crystal structure of Pb3W.

Calculated values
calculated volume = 101.6 Å³ per cell
relative energy among the computed polymorphs = 466 meV per atom
SG = No. 10
ΔE_f = 0.923 eV per atom

Cell lengths 3.218, 5.305, 6.124 Å; angles 90.00, 103.64, 90.00 degrees
Sites, in units of the cell vectors:
Pb1 0.000 0.000 0.000
Pb2 0.362 0.500 0.732
Pb3 0.638 0.500 0.268
W1 0.000 0.000 0.500

=====

3.
A plane-wave DFT calculation with PBE-GGA was carried out for an optimized crystal structure of Na2TlRuW.

Calculated values
calculated volume = 139.7 Å³ per cell
SG = No. 123
ΔE_f = 1.956 eV per atom

Cell lengths 5.209, 5.209, 5.150 Å; angles 90.00, 90.00, 90.00 degrees
Sites, in units of the cell vectors:
Na1 0.000 0.500 0.000
Na2 0.500 0.000 0.000
Tl1 0.000 0.000 0.000
Ru1 0.000 0.000 0.500
W1 0.500 0.500 0.500

=====

4.
A plane-wave DFT calculation with PBE-GGA was carried out for an optimized crystal structure of PaVSb.

Calculated values
calculated volume = 66.6 Å³ per cell
relative energy among the computed polymorphs = 0 meV per atom
formation energy from raw total energies = -0.08 eV/atom
SG = No. 187

Cell lengths 4.674, 4.674, 3.522 Å; angles 90.00, 90.00, 120.00 degrees
Sites, in units of the cell vectors:
Pa1 0.000 0.000 0.000
V1 0.333 0.667 0.500
Sb1 0.667 0.333 0.500

=====

5.
A plane-wave DFT calculation with PBE-GGA was carried out for an optimized crystal structure of CeTh2Sb.

Calculated values
calculated volume = 119.6 Å³ per cell
relative energy among the computed polymorphs = 139 meV per atom
formation energy from raw total energies = -0.30 eV/atom
SG = No. 123

Cell lengths 4.152, 4.152, 6.941 Å; angles 90.00, 90.00, 90.00 degrees
Sites, in units of the cell vectors:
Ce1 0.000 0.000 0.000
Th1 0.500 0.500 0.264
Th2 0.500 0.500 0.736
Sb1 0.000 0.000 0.500

=====

6.
A plane-wave DFT calculation with PBE-GGA was carried out for an optimized crystal structure of Sm2Co5Cu5.

Calculated values
calculated volume = 175.0 Å³ per cell
relative energy among the computed polymorphs = 0 meV per atom
SG = No. 47
ΔE_f = -0.084 eV per atom

Cell lengths 4.087, 4.886, 8.764 Å; angles 90.00, 90.00, 90.00 degrees
Sites, in units of the cell vectors:
Sm1 0.000 0.000 0.000
Sm2 0.000 0.500 0.500
Co1 0.500 0.000 0.500
Co2 0.500 0.253 0.258
Co3 0.500 0.253 0.742
Co4 0.500 0.747 0.258
Co5 0.500 0.747 0.742
Cu1 0.000 0.000 0.331
Cu2 0.000 0.000 0.669
Cu3 0.000 0.500 0.173
Cu4 0.000 0.500 0.827
Cu5 0.500 0.500 0.000

=====

7.
A plane-wave DFT calculation with PBE-GGA was carried out for an optimized crystal structure of La3AlPd3.

Calculated values
calculated volume = 340.2 Å³ per cell
SG = No. 63
ΔE_f = -0.794 eV per atom

Cell lengths 5.870, 5.870, 14.692 Å; angles 90.00, 90.00, 137.78 degrees
Sites, in units of the cell vectors:
La1 0.008 0.992 0.750
La2 0.286 0.714 0.602
La3 0.286 0.714 0.898
La4 0.714 0.286 0.102
La5 0.714 0.286 0.398
La6 0.992 0.008 0.250
Al1 0.000 0.000 0.000
Al2 0.000 0.000 0.500
Pd1 0.275 0.725 0.250
Pd2 0.431 0.569 0.090
Pd3 0.431 0.569 0.410
Pd4 0.569 0.431 0.590
Pd5 0.569 0.431 0.910
Pd6 0.725 0.275 0.750

=====

8.
A plane-wave DFT calculation with PBE-GGA was carried out for an optimized crystal structure of CsNa2Be.

Calculated values
calculated volume = 392.3 Å³ per cell
SG = No. 122
ΔE_f = 0.664 eV per atom

Cell lengths 10.808, 10.808, 10.808 Å; angles 146.04, 146.04, 48.79 degrees
Sites, in units of the cell vectors:
Cs1 0.000 0.000 0.000
Cs2 0.750 0.250 0.500
Na1 0.372 0.625 0.247
Na2 0.375 0.622 0.747
Na3 0.378 0.125 0.753
Na4 0.875 0.628 0.253
Be1 0.250 0.750 0.500
Be2 0.500 0.500 0.000